Arrangement P

A plane-wave DFT calculation with PBE-GGA was carried out for a relaxed structure of NaFePCl2. Values from VASP.

Summary:
Crystal system: tetragonal

Geometry as Quantum ESPRESSO input:
```
&SYSTEM
  ibrav = 0, nat = 5, ntyp = 4
/
ATOMIC_SPECIES
Na 22.99 Na.upf
Fe 55.84 Fe.upf
P 30.97 P.upf
Cl 35.45 Cl.upf
ATOMIC_POSITIONS crystal
Na 0.000 0.000 0.000
Fe 0.500 0.500 0.500
P 0.500 0.500 0.000
Cl 0.000 0.500 0.500
Cl 0.500 0.000 0.500
CELL_PARAMETERS angstrom
5.078 0.000 0.000
0.000 5.078 0.000
0.000 0.000 4.280
```

***

Arrangement Q

A plane-wave DFT calculation with PBE-GGA was carried out for a relaxed structure of NaFePCl2. Values from VASP.

Summary:
Crystal system: tetragonal

Geometry as Quantum ESPRESSO input:
```
&SYSTEM
  ibrav = 0, nat = 5, ntyp = 4
/
ATOMIC_SPECIES
Na 22.99 Na.upf
Fe 55.84 Fe.upf
P 30.97 P.upf
Cl 35.45 Cl.upf
ATOMIC_POSITIONS crystal
Na 0.000 0.000 0.000
Fe 0.500 0.500 0.500
P 0.000 0.000 0.500
Cl 0.000 0.500 0.000
Cl 0.500 0.000 0.000
CELL_PARAMETERS angstrom
4.912 0.000 0.000
0.000 4.912 0.000
0.000 0.000 5.373
```

***

Most favorable structure: arrangement P. The second most favorable one is 98.2 kJ/mol of atoms above it.

***

Arrangement P

A plane-wave DFT calculation with PBE-GGA was carried out for a relaxed structure of NaFeS2Cl. Values from VASP.

Summary:
Crystal system: tetragonal

Geometry as Quantum ESPRESSO input:
```
&SYSTEM
  ibrav = 0, nat = 5, ntyp = 4
/
ATOMIC_SPECIES
Na 22.99 Na.upf
Fe 55.84 Fe.upf
S 32.06 S.upf
Cl 35.45 Cl.upf
ATOMIC_POSITIONS crystal
Na 0.000 0.000 0.000
Fe 0.500 0.500 0.500
S 0.000 0.500 0.500
S 0.500 0.000 0.500
Cl 0.500 0.500 0.000
CELL_PARAMETERS angstrom
4.276 0.000 0.000
0.000 4.276 0.000
0.000 0.000 5.608
```

***

Arrangement Q

A plane-wave DFT calculation with PBE-GGA was carried out for a relaxed structure of NaFeS2Cl. Values from VASP.

Summary:
Crystal system: tetragonal

Geometry as Quantum ESPRESSO input:
```
&SYSTEM
  ibrav = 0, nat = 5, ntyp = 4
/
ATOMIC_SPECIES
Na 22.99 Na.upf
Fe 55.84 Fe.upf
S 32.06 S.upf
Cl 35.45 Cl.upf
ATOMIC_POSITIONS crystal
Na 0.000 0.000 0.000
Fe 0.500 0.500 0.500
S 0.000 0.500 0.000
S 0.500 0.000 0.000
Cl 0.000 0.000 0.500
CELL_PARAMETERS angstrom
5.419 0.000 0.000
0.000 5.419 0.000
0.000 0.000 5.343
```

***

Most favorable structure: arrangement P. The second most favorable one is 128.3 kJ/mol of atoms above it.

***

Arrangement P

A plane-wave DFT calculation with PBE-GGA was carried out for a relaxed structure of NaFeSCl2. Values from VASP.

Summary:
Crystal system: tetragonal

Geometry as Quantum ESPRESSO input:
```
&SYSTEM
  ibrav = 0, nat = 5, ntyp = 4
/
ATOMIC_SPECIES
Na 22.99 Na.upf
Fe 55.84 Fe.upf
S 32.06 S.upf
Cl 35.45 Cl.upf
ATOMIC_POSITIONS crystal
Na 0.000 0.000 0.000
Fe 0.500 0.500 0.500
S 0.000 0.000 0.500
Cl 0.000 0.500 0.000
Cl 0.500 0.000 0.000
CELL_PARAMETERS angstrom
4.864 0.000 0.000
0.000 4.864 0.000
0.000 0.000 5.173
```

***

Arrangement Q

A plane-wave DFT calculation with PBE-GGA was carried out for a relaxed structure of NaFeSCl2. Values from VASP.

Summary:
Crystal system: tetragonal

Geometry as Quantum ESPRESSO input:
```
&SYSTEM
  ibrav = 0, nat = 5, ntyp = 4
/
ATOMIC_SPECIES
Na 22.99 Na.upf
Fe 55.84 Fe.upf
S 32.06 S.upf
Cl 35.45 Cl.upf
ATOMIC_POSITIONS crystal
Na 0.000 0.000 0.000
Fe 0.500 0.500 0.500
S 0.500 0.500 0.000
Cl 0.000 0.500 0.500
Cl 0.500 0.000 0.500
CELL_PARAMETERS angstrom
4.979 0.000 0.000
0.000 4.979 0.000
0.000 0.000 4.499
```

***

Most favorable structure: arrangement Q. The second most favorable one is 105.5 kJ/mol of atoms above it.

***

Arrangement P

A plane-wave DFT calculation with PBE-GGA was carried out for a relaxed structure of Nb2FeCl. Values from VASP.

Summary:
Crystal system: tetragonal

Geometry as Quantum ESPRESSO input:
```
&SYSTEM
  ibrav = 0, nat = 8, ntyp = 3
/
ATOMIC_SPECIES
Nb 92.91 Nb.upf
Fe 55.84 Fe.upf
Cl 35.45 Cl.upf
ATOMIC_POSITIONS crystal
Nb 0.122 0.625 0.997
Nb 0.375 0.372 0.497
Nb 0.628 0.125 0.003
Nb 0.875 0.878 0.503
Fe 0.000 0.000 0.000
Fe 0.750 0.250 0.500
Cl 0.250 0.750 0.500
Cl 0.500 0.500 0.000
CELL_PARAMETERS angstrom
-3.282 3.282 3.118
3.282 -3.282 3.118
3.282 3.282 -3.118
```

***

Arrangement Q

A plane-wave DFT calculation with PBE-GGA was carried out for a relaxed structure of Nb2FeCl. Values from VASP.

Summary:
Crystal system: cubic

Geometry as Quantum ESPRESSO input:
```
&SYSTEM
  ibrav = 0, nat = 4, ntyp = 3
/
ATOMIC_SPECIES
Nb 92.91 Nb.upf
Fe 55.84 Fe.upf
Cl 35.45 Cl.upf
ATOMIC_POSITIONS crystal
Nb 0.250 0.250 0.250
Nb 0.750 0.750 0.750
Fe 0.000 0.000 0.000
Cl 0.500 0.500 0.500
CELL_PARAMETERS angstrom
0.000 3.148 3.148
3.148 0.000 3.148
3.148 3.148 0.000
```

***

Most favorable structure: arrangement Q. The second most favorable one is 5.8 kJ/mol of atoms above it.

***

Arrangement P

A plane-wave DFT calculation with PBE-GGA was carried out for a relaxed structure of NbFe3Cl. Values from VASP.

Summary:
Crystal system: cubic

Geometry as Quantum ESPRESSO input:
```
&SYSTEM
  ibrav = 0, nat = 5, ntyp = 3
/
ATOMIC_SPECIES
Nb 92.91 Nb.upf
Fe 55.84 Fe.upf
Cl 35.45 Cl.upf
ATOMIC_POSITIONS crystal
Nb 0.000 0.000 0.000
Fe 0.000 0.000 0.500
Fe 0.000 0.500 0.000
Fe 0.500 0.000 0.000
Cl 0.500 0.500 0.500
CELL_PARAMETERS angstrom
4.661 0.000 0.000
0.000 4.661 0.000
0.000 0.000 4.661
```

***

Arrangement Q

A plane-wave DFT calculation with PBE-GGA was carried out for a relaxed structure of NbFe3Cl. Values from VASP.

Summary:
Crystal system: cubic

Geometry as Quantum ESPRESSO input:
```
&SYSTEM
  ibrav = 0, nat = 5, ntyp = 3
/
ATOMIC_SPECIES
Nb 92.91 Nb.upf
Fe 55.84 Fe.upf
Cl 35.45 Cl.upf
ATOMIC_POSITIONS crystal
Nb 0.000 0.000 0.000
Fe 0.000 0.500 0.500
Fe 0.500 0.000 0.500
Fe 0.500 0.500 0.000
Cl 0.500 0.500 0.500
CELL_PARAMETERS angstrom
4.128 0.000 0.000
0.000 4.128 0.000
0.000 0.000 4.128
```

***

Most favorable structure: arrangement Q. The second most favorable one is 75.4 kJ/mol of atoms above it.

***

Arrangement P

A plane-wave DFT calculation with PBE-GGA was carried out for a relaxed structure of Nb3FeCl. Values from VASP.

Summary:
Crystal system: cubic

Geometry as Quantum ESPRESSO input:
```
&SYSTEM
  ibrav = 0, nat = 5, ntyp = 3
/
ATOMIC_SPECIES
Nb 92.91 Nb.upf
Fe 55.84 Fe.upf
Cl 35.45 Cl.upf
ATOMIC_POSITIONS crystal
Nb 0.000 0.000 0.500
Nb 0.000 0.500 0.000
Nb 0.500 0.000 0.000
Fe 0.500 0.500 0.500
Cl 0.000 0.000 0.000
CELL_PARAMETERS angstrom
4.499 0.000 0.000
0.000 4.499 0.000
0.000 0.000 4.499
```

***

Arrangement Q

A plane-wave DFT calculation with PBE-GGA was carried out for a relaxed structure of Nb3FeCl. Values from VASP.

Summary:
Crystal system: cubic

Geometry as Quantum ESPRESSO input:
```
&SYSTEM
  ibrav = 0, nat = 5, ntyp = 3
/
ATOMIC_SPECIES
Nb 92.91 Nb.upf
Fe 55.84 Fe.upf
Cl 35.45 Cl.upf
ATOMIC_POSITIONS crystal
Nb 0.000 0.000 0.500
Nb 0.000 0.500 0.000
Nb 0.500 0.000 0.000
Fe 0.000 0.000 0.000
Cl 0.500 0.500 0.500
CELL_PARAMETERS angstrom
4.666 0.000 0.000
0.000 4.666 0.000
0.000 0.000 4.666
```

***

Most favorable structure: arrangement Q. The second most favorable one is 11.6 kJ/mol of atoms above it.

***

Arrangement P

A plane-wave DFT calculation with PBE-GGA was carried out for a relaxed structure of FeNi2Cl. Values from VASP.

Summary:
Crystal system: trigonal

Geometry as Quantum ESPRESSO input:
```
&SYSTEM
  ibrav = 0, nat = 4, ntyp = 3
/
ATOMIC_SPECIES
Fe 55.84 Fe.upf
Ni 58.69 Ni.upf
Cl 35.45 Cl.upf
ATOMIC_POSITIONS crystal
Fe 0.000 0.000 0.000
Ni 0.250 0.250 0.250
Ni 0.501 0.501 0.501
Cl 0.746 0.746 0.746
CELL_PARAMETERS angstrom
1.414 0.816 7.584
-1.414 0.816 7.584
0.000 -1.633 7.584
```

***

Arrangement Q

A plane-wave DFT calculation with PBE-GGA was carried out for a relaxed structure of FeNi2Cl. Values from VASP.

Summary:
Crystal system: tetragonal

Geometry as Quantum ESPRESSO input:
```
&SYSTEM
  ibrav = 0, nat = 4, ntyp = 3
/
ATOMIC_SPECIES
Fe 55.84 Fe.upf
Ni 58.69 Ni.upf
Cl 35.45 Cl.upf
ATOMIC_POSITIONS crystal
Fe 0.000 0.000 0.000
Ni 0.500 0.500 0.208
Ni 0.500 0.500 0.792
Cl 0.000 0.000 0.500
CELL_PARAMETERS angstrom
3.017 0.000 0.000
0.000 3.017 0.000
0.000 0.000 5.989
```

***

Most favorable structure: arrangement Q. The second most favorable one is 8.3 kJ/mol of atoms above it.